Record 1
VASP calculation (SCAN) on SrNi2P2H4O10 at its PBEsol-relaxed geometry.

Structure (CIF):
```
data_SrNi2P2H4O10
_cell_length_a 8.903
_cell_length_b 5.966
_cell_length_c 7.335
_cell_angle_alpha 90.00
_cell_angle_beta 114.26
_cell_angle_gamma 90.00
_space_group_name_H-M_alt 'C 1 2/m 1'
_space_group_IT_number 12
loop_
_space_group_symop_operation_xyz
'x,y,z'
'-x,-y,-z'
'-x,y,-z'
'x,-y,z'
'x+1/2,y+1/2,z'
'-x+1/2,-y+1/2,-z'
'-x+1/2,y+1/2,-z'
'x+1/2,-y+1/2,z'
loop_
_atom_site_label
_atom_site_type_symbol
_atom_site_fract_x
_atom_site_fract_y
_atom_site_fract_z
_atom_site_occupancy
Sr1 Sr 0.000 0.000 0.000 1
Ni1 Ni 0.250 0.250 0.500 1
P1 P 0.087 0.500 0.777 1
H1 H 0.074 0.000 0.633 1
H2 H 0.243 0.500 0.203 1
O1 O 0.021 0.285 0.273 1
O2 O 0.187 0.000 0.639 1
O3 O 0.202 0.500 0.661 1
O4 O 0.206 0.500 0.999 1
```

Results
V, Å³ per cell: 355.2
E_tot, hartree per atom: -0.3669


Record 2
VASP calculation (SCAN) on V2NiP2H6O13 at its PBEsol-relaxed geometry.

Structure (CIF):
```
data_V2NiP2H6O13
_cell_length_a 10.300
_cell_length_b 9.388
_cell_length_c 9.458
_cell_angle_alpha 90.00
_cell_angle_beta 90.00
_cell_angle_gamma 90.00
_space_group_name_H-M_alt 'P n m a'
_space_group_IT_number 62
loop_
_space_group_symop_operation_xyz
'x,y,z'
'-x,-y,-z'
'-x+1/2,-y,z+1/2'
'x+1/2,y,-z+1/2'
'x+1/2,-y+1/2,-z+1/2'
'-x+1/2,y+1/2,z+1/2'
'-x,y+1/2,-z'
'x,-y+1/2,z'
loop_
_atom_site_label
_atom_site_type_symbol
_atom_site_fract_x
_atom_site_fract_y
_atom_site_fract_z
_atom_site_occupancy
V1 V 0.035 0.250 0.094 1
V2 V 0.162 0.750 0.225 1
Ni1 Ni 0.244 0.750 0.873 1
P1 P 0.088 0.050 0.815 1
H1 H 0.062 0.750 0.499 1
H2 H 0.109 0.021 0.385 1
H3 H 0.162 0.070 0.542 1
H4 H 0.215 0.750 0.535 1
O1 O 0.038 0.595 0.262 1
O2 O 0.091 0.617 0.813 1
O3 O 0.094 0.104 0.967 1
O4 O 0.131 0.104 0.448 1
O5 O 0.140 0.750 0.051 1
O6 O 0.150 0.750 0.458 1
O7 O 0.163 0.250 0.197 1
O8 O 0.207 0.100 0.730 1
```

Results
V, Å³ per cell: 914.5
E_tot, hartree per atom: -0.3368


Record 3
VASP calculation (SCAN) on Rb2NiH12S2O14 at its PBEsol-relaxed geometry.

Structure (CIF):
```
data_Rb2NiH12S2O14
_cell_length_a 6.205
_cell_length_b 12.212
_cell_length_c 8.963
_cell_angle_alpha 90.00
_cell_angle_beta 105.49
_cell_angle_gamma 90.00
_space_group_name_H-M_alt 'P 1 21/c 1'
_space_group_IT_number 14
loop_
_space_group_symop_operation_xyz
'x,y,z'
'-x,-y,-z'
'-x,y+1/2,-z+1/2'
'x,-y+1/2,z+1/2'
loop_
_atom_site_label
_atom_site_type_symbol
_atom_site_fract_x
_atom_site_fract_y
_atom_site_fract_z
_atom_site_occupancy
Rb1 Rb 0.158 0.153 0.366 1
Ni1 Ni 0.500 0.000 0.000 1
H1 H 0.162 0.556 0.599 1
H2 H 0.180 0.643 0.472 1
H3 H 0.182 0.092 0.790 1
H4 H 0.419 0.127 0.757 1
H5 H 0.420 0.595 0.223 1
H6 H 0.487 0.687 0.353 1
S1 S 0.228 0.638 0.903 1
O1 O 0.089 0.734 0.918 1
O2 O 0.100 0.570 0.769 1
O3 O 0.202 0.564 0.499 1
O4 O 0.273 0.570 0.044 1
O5 O 0.340 0.115 0.839 1
O6 O 0.442 0.676 0.873 1
O7 O 0.478 0.111 0.172 1
```

Results
V, Å³ per cell: 654.5
E_tot, hartree per atom: -0.2958